A plane-wave DFT calculation with GGA-PBE was carried out for Ac3La4Sn4 after structural relaxation.

Computed properties:
- density of states at the Fermi level (states/eV/atom) = 1.187
- calculated volume (Å³ per atom) = 35.98
- energy of formation (eV per atom) = -0.58
- size of the total moment (μB/f.u.) = 0.0
- energy (eV per cell) = -54.443

The structure in CIF format:
```
data_Ac3La4Sn4
_chemical_formula_sum 'Ac3 La4 Sn4'
_space_group_name_H-M_alt 'P 1'
_space_group_IT_number 1
_space_group_name_Hall 'P 1'
_cell_length_a 4.4353
_cell_length_b 9.4192
_cell_length_c 10.8086
_cell_angle_alpha 115.83
_cell_angle_beta 101.84
_cell_angle_gamma 90.00
loop_
_atom_site_label
_atom_site_type_symbol
_atom_site_fract_x
_atom_site_fract_y
_atom_site_fract_z
_atom_site_occupancy
Ac1 Ac 0.9024 0.9024 0.8048 1
Ac2 Ac 0.0000 0.5000 0.0000 1
Ac3 Ac 0.0976 0.0976 0.1952 1
Sn1 Sn 0.7329 0.2329 0.4658 1
Sn2 Sn 0.2671 0.7671 0.5342 1
Sn3 Sn 0.5000 0.2200 0.0000 1
Sn4 Sn 0.5000 0.7800 0.0000 1
La1 La 0.6702 0.8441 0.3404 1
La2 La 0.3298 0.1559 0.6596 1
La3 La 0.6702 0.4963 0.3404 1
La4 La 0.3298 0.5037 0.6596 1
```